Entry 1:
6
Lattice="4.478 0.000 0.000 0.000 4.478 0.000 0.000 0.000 5.582" Properties=species:S:1:pos:R:3 comment="ThCuGe2Rh2, optimized geometry, DFT PBE-GGA" m_tot_mub_per_cell=0.00 ef_ev_per_atom=-0.155 pbc="T T T"
Th 0.000 0.000 0.000
Cu 0.000 0.000 2.791
Ge 0.000 2.239 2.791
Ge 2.239 0.000 2.791
Rh 2.239 2.239 1.355
Rh 2.239 2.239 4.228



Entry 2:
15
Lattice="4.223 2.438 6.807 -4.223 2.438 6.807 0.000 -4.876 6.807" Properties=species:S:1:pos:R:3 comment="In6Sn8Hg, optimized geometry, DFT PBE-GGA" m_tot_mub_per_cell=0.00 ef_ev_per_atom=0.055 pbc="T T T"
In -2.972 -0.928 9.151
In -0.682 -3.038 11.269
In -2.290 2.110 11.269
In 2.290 -2.110 9.151
In 0.682 3.038 9.151
In 2.972 0.928 11.269
Sn -0.645 -3.011 8.065
Sn -2.930 -0.946 12.355
Sn -2.285 2.064 8.065
Sn 0.000 0.000 7.147
Sn 0.000 0.000 13.273
Sn 2.285 -2.064 12.355
Sn 2.930 0.946 8.065
Sn 0.645 3.011 12.355
Hg 0.000 0.000 10.210



Entry 3:
8
Lattice="3.965 0.000 0.000 0.000 3.965 0.000 0.000 0.000 9.421" Properties=species:S:1:pos:R:3 comment="NpPPdSe, optimized geometry, DFT PBE-GGA" m_tot_mub_per_cell=6.29 final_energy_ev_per_atom=-7.46 pbc="T T T"
Np 0.991 0.991 2.222
Np 2.974 2.974 7.199
P 0.991 0.991 6.382
P 2.974 2.974 3.039
Pd 0.991 2.974 4.710
Pd 2.974 0.991 4.710
Se 0.991 2.974 0.000
Se 2.974 0.991 0.000